# 1
Compound: MnOsCl2
Source: Alexandria
Functional: PBE
Structure: relaxed

## Properties
V = 61.8 Å³ per cell
symmetry = Cmmm (65)
ΔE_f (raw) = 0.9151 eV per atom
density of states at the Fermi level = 2.12 states/eV per cell
size of the total moment = 4.57 μB per formula unit

abc: 4.4494 4.4494 3.1196
angles: 90.00 90.00 90.07
Last column: magnetic moment on the atom in μB.
Atoms (fractional coordinates):
1 Cl 0.0000 0.0000 0.0000  0.07
2 Cl 0.5000 0.5000 0.0000  0.07
3 Mn 0.5000 0.0000 0.5000  4.01
4 Os 0.0000 0.5000 0.5000  0.19



# 2
Compound: Ba6P3N
Source: Alexandria
Functional: PBE
Structure: relaxed

## Properties
V = 766.1 Å³ per cell
symmetry = R-3 (148)
ΔE_f (raw) = -0.8106 eV per atom
size of the total moment = 0.04 μB per formula unit

abc: 9.1635 9.1635 9.1635
angles: 93.04 93.04 93.04
Atoms (fractional coordinates):
1 P 0.4244 0.9132 0.7450
2 P 0.7450 0.4244 0.9132
3 P 0.0868 0.2550 0.5756
4 P 0.9132 0.7450 0.4244
5 P 0.5756 0.0868 0.2550
6 P 0.2550 0.5756 0.0868
7 Ba 0.5757 0.7951 0.4534
8 Ba 0.2962 0.9269 0.0721
9 Ba 0.7951 0.4534 0.5757
10 Ba 0.0721 0.2962 0.9269
11 Ba 0.9269 0.0721 0.2962
12 Ba 0.4534 0.5757 0.7951
13 Ba 0.5466 0.4243 0.2049
14 Ba 0.9279 0.7038 0.0731
15 Ba 0.0731 0.9279 0.7038
16 Ba 0.2049 0.5466 0.4243
17 Ba 0.4243 0.2049 0.5466
18 Ba 0.7038 0.0731 0.9279
19 N 0.5000 0.5000 0.5000
20 N 0.0000 0.0000 0.0000



# 3
Compound: Cs2TmInSe4
Source: Alexandria
Functional: PBE
Structure: relaxed

## Properties
V = 514.9 Å³ per cell
symmetry = C2/c (15)
ΔE_f (raw) = -1.1340 eV per atom
density of states at the Fermi level = 5.76 states/eV per cell
size of the total moment = 0.00 μB per formula unit

abc: 9.0116 9.0116 8.8550
angles: 119.39 119.39 90.67
Atoms (fractional coordinates):
1 Se 0.2254 0.6870 0.4560
2 Se 0.7721 0.7287 0.9561
3 Se 0.2279 0.2713 0.0439
4 Se 0.8130 0.2746 0.0440
5 Se 0.2287 0.2721 0.4561
6 Se 0.7746 0.3130 0.5440
7 Se 0.7713 0.7279 0.5439
8 Se 0.1870 0.7254 0.9560
9 Cs 0.0000 0.0000 0.5000
10 Cs 0.5000 0.5000 0.0000
11 Cs 0.5000 0.0000 0.5000
12 Cs 0.5000 0.0000 0.0000
13 Tm 0.0000 0.5000 0.0000
14 Tm 0.0000 0.5000 0.5000
15 In 0.5000 0.5000 0.5000
16 In 0.0000 0.0000 0.0000



# 4
Compound: Pr2InO
Source: Alexandria
Functional: PBE
Structure: relaxed

## Properties
V = 86.6 Å³ per cell
symmetry = P4/mmm (123)
ΔE_f (raw) = -1.1807 eV per atom
density of states at the Fermi level = 2.20 states/eV per cell
size of the total moment = 0.00 μB per formula unit

abc: 3.2328 3.2328 8.2910
angles: 90.00 90.00 90.00
Atoms (fractional coordinates):
1 Pr 0.0000 0.0000 0.1940
2 Pr 0.0000 0.0000 0.8060
3 O 0.5000 0.5000 0.0000
4 In 0.5000 0.5000 0.5000



# 5
Compound: YAl2SnTe
Source: Alexandria
Functional: PBE
Structure: relaxed

## Properties
V = 156.6 Å³ per cell
symmetry = P4/mmm (123)
ΔE_f (raw) = 0.4187 eV per atom
density of states at the Fermi level = 3.14 states/eV per cell
size of the total moment = 0.00 μB per formula unit

abc: 5.2251 5.7346 5.2251
angles: 90.00 90.00 90.00
Atoms (fractional coordinates):
1 Al 0.5000 0.0000 0.0000
2 Al 0.0000 0.0000 0.5000
3 Y 0.0000 0.5000 0.0000
4 Te 0.0000 0.0000 0.0000
5 Sn 0.5000 0.5000 0.5000



# 6
Compound: Ca3Ag2Hg4Au2
Source: Alexandria
Functional: PBE
Structure: relaxed

## Properties
V = 271.9 Å³ per cell
calculated total energy = -23.661 eV per cell
symmetry = P-3m1 (164)
density of states at the Fermi level = 5.30 states/eV per cell
size of the total moment = 0.00 μB per formula unit

abc: 4.9589 4.9589 12.7670
angles: 90.00 90.00 120.00
Atoms (fractional coordinates):
1 Hg 0.6667 0.3333 0.1397
2 Hg 0.3333 0.6667 0.8603
3 Hg 0.6667 0.3333 0.6085
4 Hg 0.3333 0.6667 0.3915
5 Au 0.6667 0.3333 0.8674
6 Au 0.3333 0.6667 0.1326
7 Ag 0.6667 0.3333 0.3838
8 Ag 0.3333 0.6667 0.6162
9 Ca 0.0000 0.0000 0.7250
10 Ca 0.0000 0.0000 0.0000
11 Ca 0.0000 0.0000 0.2750



# 7
Compound: VC2Br
Source: Alexandria
Functional: PBE
Structure: relaxed

## Properties
V = 44.7 Å³ per cell
symmetry = Fm-3m (225)
ΔE_f (raw) = 2.5347 eV per atom
density of states at the Fermi level = 3.42 states/eV per cell
size of the total moment = 0.42 μB per formula unit

abc: 3.9844 3.9844 3.9844
angles: 60.00 60.00 60.00
Last column: magnetic moment on the atom in μB.
Atoms (fractional coordinates):
1 C 0.2500 0.2500 0.2500  -0.02
2 C 0.7500 0.7500 0.7500  -0.02
3 Br 0.5000 0.5000 0.5000  -0.01
4 V 0.0000 0.0000 0.0000  0.41



# 8
Compound: Rb2Pa3TlS8
Source: Alexandria
Functional: PBE
Structure: relaxed

## Properties
V = 472.0 Å³ per cell
symmetry = R3m (160)
ΔE_f (raw) = -1.4300 eV per atom
density of states at the Fermi level = 11.42 states/eV per cell
size of the total moment = 2.04 μB per formula unit

abc: 8.2347 8.2347 9.3382
angles: 63.84 63.84 60.00
Last column: magnetic moment on the atom in μB.
Atoms (fractional coordinates):
1 S 0.7577 0.3017 0.1830  -0.02
2 S 0.2407 0.6901 0.8284  -0.02
3 S 0.7577 0.7577 0.1830  -0.02
4 S 0.7236 0.7236 0.8293  -0.02
5 S 0.2407 0.2407 0.8284  -0.02
6 S 0.3017 0.7577 0.1830  -0.02
7 S 0.6901 0.2407 0.8284  -0.02
8 S 0.2725 0.2725 0.1824  -0.02
9 Pa 0.9989 0.4988 0.0035  0.67
10 Pa 0.4988 0.4988 0.0035  0.67
11 Pa 0.4988 0.9989 0.0035  0.67
12 Rb 0.4980 0.4980 0.5060  0.00
13 Rb 0.1338 0.1338 0.5985  0.00
14 Tl 0.8797 0.8797 0.3608  0.00



# 9
Compound: LiGa2Si2
Source: Alexandria
Functional: PBE
Structure: relaxed

## Properties
V = 93.6 Å³ per cell
symmetry = I4/mmm (139)
ΔE_f (raw) = 0.0964 eV per atom
density of states at the Fermi level = 1.10 states/eV per cell
size of the total moment = 0.00 μB per formula unit

abc: 4.1959 4.1959 6.0862
angles: 69.84 69.84 90.00
Atoms (fractional coordinates):
1 Li 0.0000 0.0000 0.0000
2 Ga 0.6152 0.6152 0.7695
3 Ga 0.3848 0.3848 0.2305
4 Si 0.7500 0.2500 0.5000
5 Si 0.2500 0.7500 0.5000



# 10
Compound: KBe2ZnF8
Source: Alexandria
Functional: PBE
Structure: relaxed

## Properties
V = 156.1 Å³ per cell
symmetry = R-3 (148)
ΔE_f (raw) = -2.6745 eV per atom
density of states at the Fermi level = 7.71 states/eV per cell
size of the total moment = 1.11 μB per formula unit

abc: 4.9338 4.9338 7.9331
angles: 71.88 71.88 60.00
Last column: magnetic moment on the atom in μB.
Atoms (fractional coordinates):
1 F 0.4025 0.7514 0.8395  0.08
2 F 0.8104 0.8104 0.5688  0.19
3 F 0.7514 0.0066 0.8395  0.08
4 F 0.5975 0.2486 0.1605  0.08
5 F 0.1896 0.1896 0.4312  0.19
6 F 0.9934 0.5975 0.1605  0.08
7 F 0.0066 0.4025 0.8395  0.08
8 F 0.2486 0.9934 0.1605  0.08
9 Zn 0.0000 0.0000 0.0000  0.16
10 Be 0.2592 0.2592 0.2224  0.00
11 Be 0.7408 0.7408 0.7776  0.00
12 K 0.5000 0.5000 0.5000  0.00



# 11
Compound: KTaReN2
Source: Alexandria
Functional: PBE
Structure: relaxed

## Properties
V = 84.1 Å³ per cell
symmetry = P4/mmm (123)
ΔE_f (raw) = 1.3820 eV per atom
density of states at the Fermi level = 4.00 states/eV per cell
size of the total moment = 1.62 μB per formula unit

abc: 4.0422 5.1442 4.0422
angles: 90.00 90.00 90.00
Last column: magnetic moment on the atom in μB.
Atoms (fractional coordinates):
1 Re 0.0000 0.0000 0.0000  -0.09
2 N 0.0000 0.0000 0.5000  0.03
3 N 0.5000 0.0000 0.0000  0.03
4 Ta 0.0000 0.5000 0.0000  1.05
5 K 0.5000 0.5000 0.5000  0.09



# 12
Compound: Li2LaW
Source: Alexandria
Functional: PBE
Structure: relaxed

## Properties
V = 83.2 Å³ per cell
calculated total energy = -19.641 eV per cell
symmetry = Cmm2 (35)
density of states at the Fermi level = 2.87 states/eV per cell
size of the total moment = 0.00 μB per formula unit

abc: 2.9403 2.9403 10.5635
angles: 90.00 90.00 114.40
Atoms (fractional coordinates):
1 La 0.5000 0.5000 0.7288
2 W 0.0000 0.0000 0.4819
3 Li 0.0000 0.0000 0.0248
4 Li 0.5000 0.5000 0.2645



# 13
Compound: Nd2Dy2Er2Tm
Source: Alexandria
Functional: PBE
Structure: relaxed

## Properties
V = 228.1 Å³ per cell
calculated total energy = -31.735 eV per cell
symmetry = C2/m (12)
density of states at the Fermi level = 11.17 states/eV per cell
size of the total moment = 0.00 μB per formula unit

abc: 3.5084 6.0992 11.7923
angles: 71.54 90.00 106.71
Atoms (fractional coordinates):
1 Er 0.7731 0.5462 0.3652
2 Er 0.2269 0.4538 0.6348
3 Tm 0.0000 0.0000 0.5000
4 Dy 0.5501 0.1003 0.2325
5 Dy 0.4499 0.8997 0.7675
6 Nd 0.6706 0.3412 0.9146
7 Nd 0.3294 0.6588 0.0854



# 14
Compound: LiH3Pd
Source: Alexandria
Functional: PBE
Structure: relaxed

## Properties
V = 42.3 Å³ per cell
calculated total energy = -17.215 eV per cell
symmetry = P4mm (99)
density of states at the Fermi level = 0.00 states/eV per cell
size of the total moment = 0.00 μB per formula unit

abc: 3.0625 3.0625 4.5093
angles: 90.00 90.00 90.00
Atoms (fractional coordinates):
1 H 0.0000 0.5000 0.3921
2 H 0.0000 0.0000 0.7386
3 H 0.5000 0.0000 0.3921
4 Li 0.0000 0.0000 0.1527
5 Pd 0.5000 0.5000 0.5883



# 15
Compound: LiSi2Sb
Source: Alexandria
Functional: PBE
Structure: relaxed

## Properties
V = 80.0 Å³ per cell
symmetry = R3m (160)
ΔE_f (raw) = 0.1242 eV per atom
density of states at the Fermi level = 0.72 states/eV per cell
size of the total moment = 0.00 μB per formula unit

abc: 7.9957 7.9957 7.9957
angles: 24.95 24.95 24.95
Atoms (fractional coordinates):
1 Sb 0.7441 0.7441 0.7441
2 Si 0.2608 0.2608 0.2608
3 Si 0.9839 0.9839 0.9839
4 Li 0.5113 0.5113 0.5113



# 16
Compound: DyPuPa2N5
Source: Alexandria
Functional: PBE
Structure: relaxed

## Properties
V = 287.4 Å³ per cell
symmetry = Cmc2_1 (36)
ΔE_f (raw) = -1.4701 eV per atom
density of states at the Fermi level = 17.33 states/eV per cell
size of the total moment = 5.99 μB per formula unit

abc: 3.6247 7.1593 11.4476
angles: 90.00 90.00 104.66
Last column: magnetic moment on the atom in μB.
Atoms (fractional coordinates):
1 Pa 0.8710 0.7419 0.1935  0.36
2 Pa 0.1454 0.2908 0.2291  0.23
3 Pa 0.8546 0.7092 0.7291  0.23
4 Pa 0.1290 0.2581 0.6935  0.36
5 N 0.6220 0.2441 0.5865  -0.05
6 N 0.3780 0.7559 0.0865  -0.05
7 N 0.9751 0.9502 0.5995  -0.10
8 N 0.2851 0.5703 0.6137  -0.03
9 N 0.3887 0.7775 0.8381  -0.05
10 N 0.6113 0.2225 0.3381  -0.05
11 N 0.6987 0.3974 0.8220  -0.04
12 N 0.0249 0.0498 0.0995  -0.10
13 N 0.3013 0.6026 0.3220  -0.04
14 N 0.7149 0.4297 0.1137  -0.03
15 Dy 0.2513 0.5026 0.9631  0.12
16 Dy 0.7487 0.4974 0.4631  0.12
17 Pu 0.4851 0.9702 0.4784  4.94
18 Pu 0.5149 0.0298 0.9784  4.94



# 17
Compound: PdCNO2
Source: Alexandria
Functional: PBE
Structure: relaxed

## Properties
V = 60.5 Å³ per cell
symmetry = P4/mmm (123)
ΔE_f (raw) = 2.2127 eV per atom
density of states at the Fermi level = 2.51 states/eV per cell
size of the total moment = 0.14 μB per formula unit

abc: 4.0541 4.0541 3.6804
angles: 90.00 90.00 90.00
Last column: magnetic moment on the atom in μB.
Atoms (fractional coordinates):
1 N 0.0000 0.0000 0.5000  -0.05
2 O 0.0000 0.5000 0.0000  -0.17
3 O 0.5000 0.0000 0.0000  -0.17
4 C 0.5000 0.5000 0.5000  0.34
5 Pd 0.0000 0.0000 0.0000  -0.01



# 18
Compound: CdAsPbBr2
Source: Alexandria
Functional: PBE
Structure: relaxed

## Properties
V = 156.0 Å³ per cell
symmetry = P4/mmm (123)
ΔE_f (raw) = 0.0170 eV per atom
density of states at the Fermi level = 3.30 states/eV per cell
size of the total moment = 0.01 μB per formula unit

abc: 5.3583 5.3583 5.4333
angles: 90.00 90.00 90.00
Atoms (fractional coordinates):
1 Cd 0.0000 0.0000 0.0000
2 Pb 0.5000 0.5000 0.5000
3 Br 0.5000 0.0000 0.0000
4 Br 0.0000 0.5000 0.0000
5 As 0.0000 0.0000 0.5000



# 19
Compound: BaHg2Os
Source: Alexandria
Functional: PBE
Structure: relaxed

## Properties
V = 101.5 Å³ per cell
calculated total energy = -10.681 eV per cell
symmetry = F-43m (216)
density of states at the Fermi level = 2.38 states/eV per cell
size of the total moment = 0.00 μB per formula unit

abc: 5.2362 5.2362 5.2362
angles: 60.00 60.00 60.00
Atoms (fractional coordinates):
1 Hg 0.2500 0.2500 0.2500
2 Hg 0.0000 0.0000 0.0000
3 Ba 0.5000 0.5000 0.5000
4 Os 0.7500 0.7500 0.7500



# 20
Compound: Sc3Se
Source: Alexandria
Functional: PBE
Structure: relaxed

## Properties
V = 94.0 Å³ per cell
symmetry = R-3m (166)
ΔE_f (raw) = -0.7008 eV per atom
density of states at the Fermi level = 4.63 states/eV per cell
size of the total moment = 0.49 μB per formula unit

abc: 8.9554 8.9554 8.9554
angles: 22.73 22.73 22.73
Last column: magnetic moment on the atom in μB.
Atoms (fractional coordinates):
1 Sc 0.2660 0.2660 0.2660  0.04
2 Sc 0.5000 0.5000 0.5000  0.20
3 Sc 0.7340 0.7340 0.7340  0.04
4 Se 0.0000 0.0000 0.0000  0.00



# 21
Compound: RbTmTl2
Source: Alexandria
Functional: PBE
Structure: relaxed

## Properties
V = 133.5 Å³ per cell
calculated total energy = -10.801 eV per cell
symmetry = P4/mmm (123)
density of states at the Fermi level = 2.44 states/eV per cell
size of the total moment = 0.00 μB per formula unit

abc: 3.8554 3.8554 8.9842
angles: 90.00 90.00 90.00
Atoms (fractional coordinates):
1 Tl 0.0000 0.0000 0.8026
2 Tl 0.0000 0.0000 0.1974
3 Tm 0.5000 0.5000 0.0000
4 Rb 0.5000 0.5000 0.5000



# 22
Compound: NaSrHg5
Source: Alexandria
Functional: PBE
Structure: relaxed

## Properties
V = 207.2 Å³ per cell
calculated total energy = -6.386 eV per cell
symmetry = Cmmm (65)
density of states at the Fermi level = 2.75 states/eV per cell
size of the total moment = 0.00 μB per formula unit

abc: 5.7606 5.7606 6.6775
angles: 90.00 90.00 110.75
Atoms (fractional coordinates):
1 Hg 0.0000 0.0000 0.5000
2 Hg 0.0000 0.5000 0.2559
3 Hg 0.0000 0.5000 0.7441
4 Hg 0.5000 0.0000 0.7441
5 Hg 0.5000 0.0000 0.2559
6 Sr 0.0000 0.0000 0.0000
7 Na 0.5000 0.5000 0.5000



# 23
Compound: Tb4PrSmDy2
Source: Alexandria
Functional: PBE
Structure: relaxed

## Properties
V = 535.2 Å³ per cell
calculated total energy = -67.728 eV per cell
symmetry = C2/c (15)
density of states at the Fermi level = 39.31 states/eV per cell
size of the total moment = 0.03 μB per formula unit

abc: 9.5186 9.5186 11.8499
angles: 128.51 128.51 88.15
Atoms (fractional coordinates):
1 Pr 0.0000 0.0000 0.0000
2 Pr 0.5000 0.5000 0.5000
3 Sm 0.0000 0.5000 0.5000
4 Sm 0.0000 0.5000 0.0000
5 Tb 0.7537 0.2460 0.5113
6 Tb 0.7492 0.7517 0.0035
7 Tb 0.7483 0.7508 0.4965
8 Tb 0.2463 0.7540 0.4887
9 Tb 0.2517 0.2492 0.5035
10 Tb 0.2508 0.2483 0.9965
11 Tb 0.7460 0.2537 0.0113
12 Tb 0.2540 0.7463 0.9887
13 Dy 0.5000 0.5000 0.0000
14 Dy 0.0000 0.0000 0.5000
15 Dy 0.5000 0.0000 0.0000
16 Dy 0.5000 0.0000 0.5000



# 24
Compound: TiMn3Pt
Source: Alexandria
Functional: PBE
Structure: relaxed

## Properties
V = 72.7 Å³ per cell
calculated total energy = -35.034 eV per cell
symmetry = Pm-3m (221)
density of states at the Fermi level = 7.61 states/eV per cell
size of the total moment = 0.03 μB per formula unit

abc: 4.1739 4.1739 4.1739
angles: 90.00 90.00 90.00
Atoms (fractional coordinates):
1 Mn 0.5000 0.0000 0.0000
2 Mn 0.0000 0.0000 0.5000
3 Mn 0.0000 0.5000 0.0000
4 Ti 0.0000 0.0000 0.0000
5 Pt 0.5000 0.5000 0.5000



# 25
Compound: Ba2EuTl
Source: Alexandria
Functional: PBE
Structure: relaxed

## Properties
V = 187.4 Å³ per cell
calculated total energy = -17.195 eV per cell
symmetry = P4/mmm (123)
density of states at the Fermi level = 4.74 states/eV per cell
size of the total moment = 7.95 μB per formula unit

abc: 4.2924 4.2924 10.1704
angles: 90.00 90.00 90.00
Last column: magnetic moment on the atom in μB.
Atoms (fractional coordinates):
1 Ba 0.0000 0.0000 0.2013  -0.05
2 Ba 0.0000 0.0000 0.7987  -0.05
3 Eu 0.5000 0.5000 0.5000  -7.04
4 Tl 0.5000 0.5000 0.0000  0.03